[1]
Material: SnPt3Pb
Method: DFT, PBE
State: relaxed

a b c (Å): 4.997 4.997 4.997
angles (deg): 90.00 90.00 90.00
Space group Pm-3m (No. 221)
Asymmetric unit:
Sn: 0.000 0.000 0.000 (multiplicity 1)
Pt: 0.000 0.000 0.500 (multiplicity 3)
Pb: 0.500 0.500 0.500 (multiplicity 1)

Properties
Energy above the lowest structure with this stoichiometry: 743 meV per atom
ΔE_f: 0.47 eV/atom
Calculated total energy: -23.495 eV per cell

[2]
Material: Cs4Ir
Method: DFT, PBE
State: relaxed

a b c (Å): 6.869 6.869 6.869
angles (deg): 90.00 90.00 90.00
Space group Pm-3m (No. 221)
Asymmetric unit:
Cs: 0.000 0.000 0.000 (multiplicity 1)
Cs: 0.000 0.500 0.500 (multiplicity 3)
Ir: 0.500 0.500 0.500 (multiplicity 1)

Properties
ΔE_f: 0.60 eV/atom
Calculated total energy: -9.294 eV per cell

[3]
Material: Sr3ZnP3
Method: DFT, PBE
State: relaxed

a b c (Å): 18.778 6.378 12.513
angles (deg): 90.00 90.00 90.00
Space group Cmce (No. 64)
Asymmetric unit:
Sr: 0.000 0.189 0.147 (multiplicity 8)
Sr: 0.174 0.200 0.869 (multiplicity 16)
Zn: 0.084 0.000 0.500 (multiplicity 8)
P: 0.000 0.212 0.395 (multiplicity 8)
P: 0.160 0.208 0.619 (multiplicity 16)

Properties
ΔE_f: -0.89 eV/atom
Calculated total energy: -230.100 eV per cell

[4]
Material: RbNaCd2
Method: DFT, PBE
State: relaxed

a b c (Å): 8.362 8.362 8.362
angles (deg): 90.00 90.00 90.00
Space group Fm-3m (No. 225)
Asymmetric unit:
Rb: 0.000 0.000 0.000 (multiplicity 4)
Na: 0.000 0.000 0.500 (multiplicity 4)
Cd: 0.250 0.250 0.250 (multiplicity 8)

Properties
Energy above the lowest structure with this stoichiometry: 97 meV per atom
ΔE_f: 0.03 eV/atom
Calculated total energy: -15.925 eV per cell

Among the records above, which one has the highest calculated total energy? Cs4Ir